First-principles (PBE) data for a geometry-optimized Sr2ErMg structure, as listed in Alexandria.

Output
Mass density, g cm⁻³: 3.9
Formation energy, eV/atom: 0.35
ΔE to the lowest computed polymorph, eV per atom: 0.192
DOS at the Fermi energy, states/eV/atom: 1.18

Cell lengths 3.7484, 3.7484, 38.6381 Å; angles 90.00, 90.00, 120.00 degrees
Space group R-3m (No. 166, hexagonal axes)
One atom of each set of equivalent atoms:
Sr  0.0000  0.0000  0.0912
Er  0.0000  0.0000  0.0000
Mg  0.0000  0.0000  0.5000


First-principles (PBE) data for a geometry-optimized Zr2ZnFeIr structure, as listed in Alexandria.

Output
Mass density, g cm⁻³: 8.7
Formation energy, eV/atom: 0.32
DOS at the Fermi energy, states/eV/atom: 0.59

Cell lengths 4.642, 4.642, 4.416 Å; angles 90.00, 90.00, 90.00 degrees
Space group P4/mmm (No. 123)
One atom of each set of equivalent atoms:
Zr  0.000  0.500  0.000
Zn  0.000  0.000  0.500
Fe  0.000  0.000  0.000
Ir  0.500  0.500  0.500


First-principles (PBE) data for a geometry-optimized TlReSe structure, as listed in Alexandria.

Output
Mass density, g cm⁻³: 11.8
ΔE to the lowest computed polymorph, eV per atom: 0.295
DOS at the Fermi energy, states/eV/atom: 0.75

Cell lengths 3.101, 3.101, 13.767 Å; angles 90.00, 90.00, 90.00 degrees
Space group I4mm (No. 107)
One atom of each set of equivalent atoms:
Tl  0.000  0.000  0.000
Re  0.000  0.000  0.331
Se  0.000  0.000  0.739


First-principles (PBE) data for a geometry-optimized ScCdFe2Ge structure, as listed in Alexandria.

Output
Mass density, g cm⁻³: 5.7
Formation energy, eV/atom: 0.53
DOS at the Fermi energy, states/eV/atom: 1.05

Cell lengths 4.514, 4.514, 4.896 Å; angles 90.00, 90.00, 90.00 degrees
Space group P4/mmm (No. 123)
One atom of each set of equivalent atoms:
Sc  0.000  0.000  0.000
Cd  0.500  0.500  0.000
Fe  0.000  0.500  0.500
Ge  0.500  0.500  0.500


First-principles (PBE) data for a geometry-optimized La2Ge7Rh12 structure, as listed in Alexandria.

Output
Mass density, g cm⁻³: 9.7
Formation energy, eV/atom: -0.72
DOS at the Fermi energy, states/eV/atom: 0.50

Cell lengths 10.0394, 10.0394, 3.9668 Å; angles 90.00, 90.00, 120.00 degrees
Space group P-3 (No. 147)
One atom of each set of equivalent atoms:
La  0.3333  0.6667  0.2506
Ge  0.0000  0.0000  0.0000
Ge  0.1091  0.3981  0.7501
Rh  0.0612  0.6190  0.7487
Rh  0.1202  0.8590  0.2486


First-principles (PBE) data for a geometry-optimized La8TmMg2 structure, as listed in Alexandria.

Output
Mass density, g cm⁻³: 5.9
Formation energy, eV/atom: 0.00
DOS at the Fermi energy, states/eV/atom: 1.54

Cell lengths 18.157, 5.225, 8.356 Å; angles 90.00, 108.59, 90.00 degrees
Space group C2/m (No. 12)
One atom of each set of equivalent atoms:
La  0.050  0.000  0.236
La  0.095  0.500  0.960
La  0.138  0.000  0.692
La  0.185  0.500  0.437
Tm  0.000  0.500  0.500
Mg  0.227  0.000  0.132


First-principles (PBE) data for a geometry-optimized AcGe3Au3 structure, as listed in Alexandria.

Output
Mass density, g cm⁻³: 9.7
Formation energy, eV/atom: -0.24
ΔE to the lowest computed polymorph, eV per atom: 0.000
DOS at the Fermi energy, states/eV/atom: 0.42

Cell lengths 7.6428, 7.6428, 20.9276 Å; angles 90.00, 90.00, 120.00 degrees
Space group R-3 (No. 148, hexagonal axes)
One atom of each set of equivalent atoms:
Ac  0.0000  0.0000  0.1676
Ge  0.0003  0.3101  0.4084
Au  0.0013  0.3463  0.6182


First-principles (PBE) data for a geometry-optimized Ag2POs structure, as listed in Alexandria.

Output
Mass density, g cm⁻³: 11.3
Formation energy, eV/atom: 0.72
DOS at the Fermi energy, states/eV/atom: 0.98

Cell lengths 3.673, 3.673, 9.539 Å; angles 90.00, 90.00, 90.00 degrees
Space group I4/mmm (No. 139)
One atom of each set of equivalent atoms:
Ag  0.000  0.500  0.250
P  0.000  0.000  0.000
Os  0.000  0.000  0.500